MgH3Pd: optimized geometry, GGA-PBE.

Calculated values
M_tot = 0.00 μB per formula unit
DOS at the Fermi energy = 0.52 states/eV per cell
final energy = -35.0 eV per cell

a b c (Å): 3.078 5.870 5.311
angles (deg): 105.02 90.00 90.00
Element x y z (fractional)
Mg  0.250  0.304  0.226
Mg  0.750  0.696  0.774
H  0.750  0.621  0.325
H  0.250  0.379  0.675
H  0.750  0.232  0.987
H  0.250  0.909  0.673
H  0.250  0.768  0.013
H  0.750  0.091  0.327
Pd  0.250  0.792  0.345
Pd  0.750  0.208  0.655

---

Mg4HPd2: optimized geometry, GGA-PBE.

Calculated values
M_tot = 0.00 μB per formula unit
DOS at the Fermi energy = 1.80 states/eV per cell
final energy = -22.7 eV per cell

a b c (Å): 3.994 3.994 7.697
angles (deg): 105.04 105.04 90.00
Element x y z (fractional)
H  0.000  0.000  0.000
Mg  0.823  0.823  0.645
Mg  0.177  0.177  0.355
Mg  0.000  0.500  0.000
Mg  0.500  0.000  0.000
Pd  0.634  0.634  0.267
Pd  0.366  0.366  0.733

---

MgH6Pd12: optimized geometry, GGA-PBE.

Calculated values
M_tot = 0.00 μB per formula unit
DOS at the Fermi energy = 15.34 states/eV per cell
final energy = -83.3 eV per cell

a b c (Å): 6.517 6.517 6.517
angles (deg): 104.19 104.19 104.19
Element x y z (fractional)
Mg  0.000  0.000  0.000
H  0.456  0.144  0.144
H  0.144  0.144  0.456
H  0.144  0.456  0.144
H  0.856  0.856  0.544
H  0.544  0.856  0.856
H  0.856  0.544  0.856
Pd  0.867  0.133  0.500
Pd  0.818  0.551  0.551
Pd  0.551  0.551  0.818
Pd  0.449  0.182  0.449
Pd  0.449  0.449  0.182
Pd  0.182  0.449  0.449
Pd  0.133  0.500  0.867
Pd  0.500  0.867  0.133
Pd  0.133  0.867  0.500
Pd  0.867  0.500  0.133
Pd  0.500  0.133  0.867
Pd  0.551  0.818  0.551